[1]
Entry from Alexandria: a relaxed structure of CaTaTeSe2 (GGA-PBE).

Cell and atoms, written as POSCAR:
```
CaTaTeSe2
1.0
4.9882 0.0000 0.0000
0.0000 4.9882 0.0000
0.0000 0.0000 5.7076
Ca Ta Te Se
1 1 1 2
direct
0.0000 0.0000 0.0000
0.5000 0.5000 0.5000
0.5000 0.5000 0.0000
0.0000 0.5000 0.5000
0.5000 0.0000 0.5000
```

Output
Theoretical density: 5.92 g cm⁻³
ΔE_f (raw): -0.6737 eV per atom
Space group: P4/mmm (123)

[2]
Entry from Alexandria: a relaxed structure of Ho2CdN (GGA-PBE).

Cell and atoms, written as POSCAR:
```
Ho2CdN
1.0
1.7438 1.0068 7.8980
-1.7438 1.0068 7.8980
0.0000 -2.0135 7.8980
Ho Cd N
2 1 1
direct
0.2233 0.2233 0.2233
0.7767 0.7767 0.7767
0.0000 0.0000 0.0000
0.5000 0.5000 0.5000
```

Output
Theoretical density: 9.11 g cm⁻³
ΔE_f (raw): -0.9351 eV per atom
Space group: R-3m (166)

[3]
Entry from Alexandria: a relaxed structure of Ta2Ir2Ru3 (GGA-PBE).

Cell and atoms, written as POSCAR:
```
Ta2Ir2Ru3
1.0
5.6003 -2.1754 0.0000
5.6003 2.1754 0.0000
-1.2317 0.0000 4.6191
Ta Ir Ru
2 2 3
direct
0.1180 0.1180 0.2613
0.8820 0.8820 0.7387
0.3810 0.3810 0.3967
0.6190 0.6190 0.6033
0.2435 0.2435 0.8336
0.5000 0.5000 0.0000
0.7565 0.7565 0.1664
```

Output
Theoretical density: 15.48 g cm⁻³
Space group: C2/m (12)
Formation energy: -71 meV per atom

[4]
Entry from Alexandria: a relaxed structure of Ce3FeAg3S8 (GGA-PBE).

Cell and atoms, written as POSCAR:
```
Ce3FeAg3S8
1.0
3.9594 2.2860 6.1969
-3.9594 2.2860 6.1969
0.0000 -4.5719 6.1969
Ce Fe Ag S
3 1 3 8
direct
0.0000 0.5000 0.5000
0.5000 0.0000 0.5000
0.5000 0.5000 0.0000
0.0000 0.0000 0.0000
0.0000 0.0000 0.5000
0.0000 0.5000 0.0000
0.5000 0.0000 0.0000
0.2141 0.7837 0.7837
0.2163 0.2163 0.7859
0.2163 0.7859 0.2163
0.2515 0.2515 0.2515
0.7485 0.7485 0.7485
0.7837 0.2141 0.7837
0.7837 0.7837 0.2141
0.7859 0.2163 0.2163
```

Output
Theoretical density: 5.21 g cm⁻³
ΔE_f (raw): -0.9889 eV per atom
Space group: R-3m (166)

[5]
Entry from Alexandria: a relaxed structure of SrCa2Rh (GGA-PBE).

Cell and atoms, written as POSCAR:
```
SrCa2Rh
1.0
-1.7791 2.5221 7.5543
1.7791 -2.5221 7.5543
1.7791 2.5221 -7.5543
Sr Ca Rh
1 2 1
direct
0.0000 0.0000 0.0000
0.3332 0.8332 0.5000
0.6809 0.6809 0.0000
0.8329 0.3329 0.5000
```

Output
Theoretical density: 3.32 g cm⁻³
Energy relative to the lowest polymorph listed for this composition: 0.147 eV/atom
Space group: Imm2 (44)
Formation energy: -140 meV per atom

[6]
Entry from Alexandria: a relaxed structure of HfHSCl2 (GGA-PBE).

Cell and atoms, written as POSCAR:
```
HfHSCl2
1.0
5.0533 0.0000 0.0000
0.0000 5.0533 0.0000
0.0000 0.0000 4.8379
Hf H S Cl
1 1 1 2
direct
0.0000 0.0000 0.0000
0.5000 0.5000 0.5000
0.0000 0.0000 0.5000
0.0000 0.5000 0.0000
0.5000 0.0000 0.0000
```

Output
Theoretical density: 3.80 g cm⁻³
Energy relative to the lowest polymorph listed for this composition: 0.000 eV/atom
Space group: P4/mmm (123)

[7]
Entry from Alexandria: a relaxed structure of Li2PbAu2 (GGA-PBE).

Cell and atoms, written as POSCAR:
```
Li2PbAu2
1.0
-2.0361 2.0361 6.1722
2.0361 -2.0361 6.1722
2.0361 2.0361 -6.1722
Li Pb Au
2 1 2
direct
0.2500 0.7500 0.5000
0.7500 0.2500 0.5000
0.0000 0.0000 0.0000
0.3854 0.3854 0.0000
0.6146 0.6146 0.0000
```

Output
Theoretical density: 9.98 g cm⁻³
Energy relative to the lowest polymorph listed for this composition: 0.117 eV/atom
Space group: I4/mmm (139)
Formation energy: -287 meV per atom

[8]
Entry from Alexandria: a relaxed structure of AcTmIn2Ag2 (GGA-PBE).

Cell and atoms, written as POSCAR:
```
AcTmIn2Ag2
1.0
4.8626 0.0000 0.0000
-2.4313 4.2111 0.0000
0.0000 0.0000 7.7347
Ac Tm In Ag
1 1 2 2
direct
0.0000 0.0000 0.0000
0.0000 0.0000 0.5000
0.3333 0.6667 0.2853
0.6667 0.3333 0.7147
0.3333 0.6667 0.6950
0.6667 0.3333 0.3050
```

Output
Theoretical density: 8.82 g cm⁻³
Space group: P-3m1 (164)
Formation energy: -386 meV per atom

[9]
Entry from Alexandria: a relaxed structure of SrAgPCl2 (GGA-PBE).

Cell and atoms, written as POSCAR:
```
SrAgPCl2
1.0
5.1709 0.0000 0.0000
0.0000 5.1709 0.0000
0.0000 0.0000 4.9368
Sr Ag P Cl
1 1 1 2
direct
0.0000 0.0000 0.0000
0.5000 0.5000 0.5000
0.5000 0.5000 0.0000
0.0000 0.5000 0.5000
0.5000 0.0000 0.5000
```

Output
Theoretical density: 3.74 g cm⁻³
ΔE_f (raw): -0.6059 eV per atom
Energy relative to the lowest polymorph listed for this composition: 0.000 eV/atom
Space group: P4/mmm (123)

[10]
Entry from Alexandria: a relaxed structure of Sm3Ge2Os (GGA-PBE).

Cell and atoms, written as POSCAR:
```
Sm3Ge2Os
1.0
12.0194 0.0000 0.0000
0.0000 4.2656 0.0000
0.0000 0.0000 11.4888
Sm Ge Os
12 8 4
direct
0.0557 0.2500 0.1270
0.1196 0.7500 0.5555
0.2231 0.2500 0.7967
0.2769 0.7500 0.2967
0.3804 0.2500 0.0555
0.4443 0.7500 0.6270
0.5557 0.2500 0.3730
0.6196 0.7500 0.9445
0.7231 0.2500 0.7033
0.7769 0.7500 0.2033
0.8804 0.2500 0.4445
0.9443 0.7500 0.8730
0.0158 0.7500 0.3104
0.1920 0.7500 0.9965
0.3080 0.2500 0.4965
0.4842 0.2500 0.8104
0.5158 0.7500 0.1896
0.6920 0.7500 0.5035
0.8080 0.2500 0.0035
0.9842 0.2500 0.6896
0.1293 0.2500 0.3705
0.3707 0.7500 0.8705
0.6293 0.2500 0.1295
0.8707 0.7500 0.6295
```

Output
Theoretical density: 8.87 g cm⁻³
Space group: Pnma (62)
Formation energy: -613 meV per atom

[11]
Entry from Alexandria: a relaxed structure of Be3C4 (GGA-PBE).

Cell and atoms, written as POSCAR:
```
Be3C4
1.0
-1.1912 1.1912 9.5320
1.1912 -1.1912 9.5320
1.1912 1.1912 -9.5320
Be C
3 4
direct
0.0000 0.0000 0.0000
0.2889 0.2889 0.0000
0.7111 0.7111 0.0000
0.0914 0.0914 0.0000
0.3839 0.3839 0.0000
0.6161 0.6161 0.0000
0.9086 0.9086 0.0000
```

Output
Theoretical density: 2.30 g cm⁻³
Energy relative to the lowest polymorph listed for this composition: 0.730 eV/atom
Space group: I4/mmm (139)
Formation energy: 1603 meV per atom

[12]
Entry from Alexandria: a relaxed structure of ZrAsCl2 (GGA-PBE).

Cell and atoms, written as POSCAR:
```
ZrAsCl2
1.0
2.1821 -2.1983 0.0000
2.1821 2.1983 0.0000
0.0000 0.0000 9.4385
Zr As Cl
1 1 2
direct
0.0000 0.0000 0.0000
0.5000 0.5000 0.2070
0.0000 0.0000 0.5082
0.5000 0.5000 0.8248
```

Output
Theoretical density: 4.35 g cm⁻³
ΔE_f (raw): -0.5684 eV per atom
Energy relative to the lowest polymorph listed for this composition: 0.498 eV/atom
Space group: Cmm2 (35)

[13]
Entry from Alexandria: a relaxed structure of SrZrBe2 (GGA-PBE).

Cell and atoms, written as POSCAR:
```
SrZrBe2
1.0
-3.6904 3.6904 3.4699
3.6904 -3.6904 3.4699
3.6904 3.6904 -3.4699
Sr Zr Be
2 2 4
direct
0.0000 0.0000 0.0000
0.7500 0.2500 0.5000
0.2500 0.7500 0.5000
0.5000 0.5000 0.0000
0.1727 0.6250 0.0477
0.3750 0.4227 0.5477
0.5773 0.1250 0.9523
0.8750 0.8273 0.4523
```

Output
Theoretical density: 3.46 g cm⁻³
Energy relative to the lowest polymorph listed for this composition: 0.635 eV/atom
Space group: I-42d (122)
Formation energy: 873 meV per atom

[14]
Entry from Alexandria: a relaxed structure of TaSbCl (GGA-PBE).

Cell and atoms, written as POSCAR:
```
TaSbCl
1.0
3.1948 0.0000 0.0000
-1.5974 2.7668 0.0000
0.0000 0.0000 8.3866
Ta Sb Cl
1 1 1
direct
0.0000 0.0000 0.0000
0.3333 0.6667 0.7217
0.6667 0.3333 0.2095
```

Output
Theoretical density: 7.57 g cm⁻³
ΔE_f (raw): -0.3398 eV per atom
Energy relative to the lowest polymorph listed for this composition: 0.087 eV/atom
Space group: P3m1 (156)

[15]
Entry from Alexandria: a relaxed structure of TiNb2SnN (GGA-PBE).

Cell and atoms, written as POSCAR:
```
TiNb2SnN
1.0
4.4568 0.0000 0.0000
0.0000 4.4568 0.0000
0.0000 0.0000 3.9710
Ti Nb Sn N
1 2 1 1
direct
0.0000 0.0000 0.0000
0.0000 0.5000 0.5000
0.5000 0.0000 0.5000
0.5000 0.5000 0.0000
0.0000 0.0000 0.5000
```

Output
Theoretical density: 7.71 g cm⁻³
ΔE_f (raw): -0.6173 eV per atom
Space group: P4/mmm (123)

[16]
Entry from Alexandria: a relaxed structure of SrAlTe2 (GGA-PBE).

Cell and atoms, written as POSCAR:
```
SrAlTe2
1.0
2.1700 1.2528 7.6730
-2.1700 1.2528 7.6730
0.0000 -2.5057 7.6730
Sr Al Te
1 1 2
direct
0.0000 0.0000 0.0000
0.5000 0.5000 0.5000
0.2379 0.2379 0.2379
0.7621 0.7621 0.7621
```

Output
Theoretical density: 4.91 g cm⁻³
ΔE_f (raw): -0.7949 eV per atom
Space group: R-3m (166)

[17]
Entry from Alexandria: a relaxed structure of LaCo2Au (GGA-PBE).

Cell and atoms, written as POSCAR:
```
LaCo2Au
1.0
-1.8875 2.1421 4.8048
1.8875 -2.1421 4.8048
1.8875 2.1421 -4.8048
La Co Au
1 2 1
direct
0.0000 0.0000 0.0000
0.2724 0.7724 0.5000
0.4041 0.4041 0.0000
0.7342 0.2342 0.5000
```

Output
Theoretical density: 9.70 g cm⁻³
Space group: Imm2 (44)
Formation energy: 60 meV per atom

[18]
Entry from Alexandria: a relaxed structure of EuTmTlSn (GGA-PBE).

Cell and atoms, written as POSCAR:
```
EuTmTlSn
1.0
0.0000 3.8382 3.8382
3.8382 0.0000 3.8382
3.8382 3.8382 0.0000
Eu Tm Tl Sn
1 1 1 1
direct
0.0000 0.0000 0.0000
0.5000 0.5000 0.5000
0.7500 0.7500 0.7500
0.2500 0.2500 0.2500
```

Output
Theoretical density: 9.46 g cm⁻³
Space group: F-43m (216)
Formation energy: -455 meV per atom

[19]
Entry from Alexandria: a relaxed structure of Ac5Er4Pb4 (GGA-PBE).

Cell and atoms, written as POSCAR:
```
Ac5Er4Pb4
1.0
-6.9412 6.9412 2.3966
6.9412 -6.9412 2.3966
6.9412 6.9412 -2.3966
Ac Er Pb
5 4 4
direct
0.0000 0.0000 0.0000
0.2948 0.6279 0.9227
0.3721 0.2948 0.6668
0.6279 0.7052 0.3332
0.7052 0.3721 0.0773
0.0936 0.4152 0.5088
0.4152 0.9064 0.3215
0.5848 0.0936 0.6785
0.9064 0.5848 0.4912
0.0661 0.7530 0.8191
0.2470 0.0661 0.3130
0.7530 0.9339 0.6870
0.9339 0.2470 0.1809
```

Output
Theoretical density: 9.47 g cm⁻³
Space group: I4/m (87)
Formation energy: -382 meV per atom

[20]
Entry from Alexandria: a relaxed structure of BeIn2Cl (GGA-PBE).

Cell and atoms, written as POSCAR:
```
BeIn2Cl
1.0
3.3016 0.0000 0.0000
0.0000 4.7348 0.0000
0.0000 0.0000 5.9335
Be In Cl
1 2 1
direct
0.0000 0.0000 0.0000
0.0000 0.5000 0.5000
0.5000 0.5000 0.0000
0.5000 0.0000 0.5000
```

Output
Theoretical density: 4.91 g cm⁻³
ΔE_f (raw): 0.2239 eV per atom
Energy relative to the lowest polymorph listed for this composition: 0.348 eV/atom
Space group: Pmmm (47)

[21]
Entry from Alexandria: a relaxed structure of MgSbPb4 (GGA-PBE).

Cell and atoms, written as POSCAR:
```
MgSbPb4
1.0
0.0000 4.5805 4.5805
4.5805 0.0000 4.5805
4.5805 4.5805 0.0000
Mg Sb Pb
1 1 4
direct
0.0000 0.0000 0.0000
0.2500 0.2500 0.2500
0.1232 0.6256 0.6256
0.6256 0.1232 0.6256
0.6256 0.6256 0.1232
0.6256 0.6256 0.6256
```

Output
Theoretical density: 8.42 g cm⁻³
ΔE_f (raw): 0.2624 eV per atom
Space group: F-43m (216)

[22]
Entry from Alexandria: a relaxed structure of Ca2AgI (GGA-PBE).

Cell and atoms, written as POSCAR:
```
Ca2AgI
1.0
2.1280 1.2286 8.3358
-2.1280 1.2286 8.3358
0.0000 -2.4572 8.3358
Ca Ag I
2 1 1
direct
0.2374 0.2374 0.2374
0.7626 0.7626 0.7626
0.5000 0.5000 0.5000
0.0000 0.0000 0.0000
```

Output
Theoretical density: 4.00 g cm⁻³
ΔE_f (raw): -0.6655 eV per atom
Energy relative to the lowest polymorph listed for this composition: 0.000 eV/atom
Space group: R-3m (166)